{"formula": "Ac2AlAsRh6", "functional": "PBE-GGA", "state": "relaxed", "lattice": [[5.658, 0.000, 0.000], [2.700, 5.916, 0.000], [2.718, -0.177, 6.011]], "species": ["Ac", "Ac", "Al", "As", "Rh", "Rh", "Rh", "Rh", "Rh", "Rh"], "fractional_positions": [[0.027, 0.218, 0.206], [0.973, 0.782, 0.794], [0.500, 0.500, 0.000], [0.500, 0.000, 0.500], [0.002, 0.262, 0.721], [0.380, 0.415, 0.412], [0.494, 0.775, 0.235], [0.506, 0.225, 0.765], [0.620, 0.585, 0.588], [0.998, 0.738, 0.279]], "e_tot_ev_per_atom": -6.66, "crystal_system": "triclinic", "formation_enthalpy_0k_ev_per_atom": -0.589, "space_group": "P-1", "total_magnetization_mub_per_cell": 0.00, "dos_ef_per_ev_atom": 0.670}